Below is a geometry-optimized Mg2TaC structure, with properties calculated at the PBE level.

Energy of formation   604 meV/atom
ρ   6.07 g cm⁻³
SG   No. 122

a b c (Å): 7.7554 7.7554 5.9074
angles (deg): 48.97 48.97 90.00
Closest atoms and distances in Å follow each position.
Fractional positions:
Mg  0.8750  0.7670  0.7500  2 C 2.30
Mg  0.5170  0.1250  0.2500  2 C 2.30
C  0.2500  0.7500  0.5000  2 Ta 2.20, 4 Mg 2.30
Ta  0.0000  0.0000  0.0000  2 C 2.20
Mg  0.2330  0.6250  0.2500  2 C 2.30
Ta  0.7500  0.2500  0.5000  2 C 2.20
C  0.5000  0.5000  0.0000  2 Ta 2.20, 4 Mg 2.30
Mg  0.3750  0.4830  0.7500  2 C 2.30